HoTmNiPb: optimized geometry, PBE-GGA.

Output
Calculated total energy = -19.76 eV per formula unit
Formation enthalpy at 0 K = -0.31 eV per atom
M_tot = 0.00 μB per formula unit

Lattice parameters (Å, degrees): 7.2230 7.2230 7.2230 90.00 90.00 90.00
With the nearest neighbours (Å) after each atom.
Space group F-43m (No. 216)
Symmetry-distinct sites (fractional):
1 Ho 0.0000 0.0000 0.0000 x4  4 Pb 3.13, 4 Ni 3.13
2 Tm 0.0000 0.0000 0.5000 x4  4 Ni 3.13, 4 Pb 3.13
3 Ni 0.2500 0.2500 0.7500 x4  4 Ho 3.13, 4 Tm 3.13
4 Pb 0.2500 0.2500 0.2500 x4  4 Ho 3.13, 4 Tm 3.13

HoZnNiPb: optimized geometry, PBE-GGA.

Output
Calculated total energy = -16.12 eV per formula unit
Formation enthalpy at 0 K = -0.19 eV per atom
M_tot = 0.00 μB per formula unit

Lattice parameters (Å, degrees): 6.7929 6.7929 6.7929 90.00 90.00 90.00
With the nearest neighbours (Å) after each atom.
Space group F-43m (No. 216)
Symmetry-distinct sites (fractional):
1 Ho 0.0000 0.0000 0.0000 x4  4 Ni 2.94, 4 Zn 2.94
2 Zn 0.2500 0.2500 0.2500 x4  4 Pb 2.94, 4 Ho 2.94
3 Ni 0.2500 0.2500 0.7500 x4  4 Pb 2.94, 4 Ho 2.94
4 Pb 0.0000 0.0000 0.5000 x4  4 Ni 2.94, 4 Zn 2.94

Ho2Ni2Pd: optimized geometry, PBE-GGA.

Output
Calculated total energy = -28.89 eV per formula unit
Formation enthalpy at 0 K = -0.60 eV per atom
M_tot = 0.00 μB per formula unit

Lattice parameters (Å, degrees): 4.0935 5.7430 7.8300 90.00 90.00 90.00
With the nearest neighbours (Å) after each atom.
Space group Immm (No. 71)
Symmetry-distinct sites (fractional):
1 Ho 0.0000 0.0000 0.2150 x4  6 Ni 2.81-2.90, 2 Pd 3.03
2 Ni 0.0000 0.2963 0.5000 x4  1 Ni 2.34
3 Pd 0.0000 0.5000 0.0000 x2  4 Ni 2.66

- What is the formation enthalpy at 0 K in the first record?
  -0.31 eV per atom

- Which value of M_tot does entry 2 give?
  0.00 μB per formula unit

- What is the formula in the third record?
  Ho2Ni2Pd